1.
This record from Alexandria describes a relaxed NaCdAg2 crystal. The functional is PBE-GGA.

Lattice parameters (Å, degrees): 4.158 4.411 4.411 90.00 90.00 90.00
Fractional coordinates of all 4 atoms:
Cd  0.500  0.000  0.000
Ag  0.000  0.000  0.500
Ag  0.000  0.500  0.000
Na  0.500  0.500  0.500

ΔE_f ... -0.02 eV per atom
SG ... P4/mmm (123)
M_tot ... 0.00 μB/atom


2.
This record from Alexandria describes a relaxed Pm2Sm2S3 crystal. The functional is PBE-GGA.

Lattice parameters (Å, degrees): 3.989 6.919 6.898 99.81 106.81 90.00
Fractional coordinates of all 7 atoms:
S  0.000  0.000  0.000
S  0.251  0.753  0.501
S  0.749  0.247  0.499
Pm  0.127  0.375  0.254
Pm  0.873  0.625  0.746
Sm  0.373  0.121  0.746
Sm  0.627  0.879  0.254

SG ... C2/m (12)
Formation energy without anion corrections ... -1.7285 eV/atom
M_tot ... 0.00 μB/atom


3.
This record from Alexandria describes a relaxed KBeNi2 crystal. The functional is PBE-GGA.

Lattice parameters (Å, degrees): 5.681 5.681 5.681 153.73 125.88 61.13
Fractional coordinates of all 4 atoms:
Be  0.440  0.440  0.000
Ni  0.262  0.762  0.500
Ni  0.051  0.051  0.000
K  0.747  0.247  0.500

ΔE_f ... 0.72 eV per atom
SG ... Imm2 (44)
M_tot ... 0.11 μB/atom


4.
This record from Alexandria describes a relaxed Ce3B2N7 crystal. The functional is PBE-GGA.

Lattice parameters (Å, degrees): 3.331 3.672 10.719 99.86 90.00 90.00
Fractional coordinates of all 12 atoms:
N  0.500  0.095  0.191
N  0.500  0.905  0.809
N  0.000  0.192  0.383
N  0.000  0.596  0.191
N  0.000  0.404  0.809
N  0.000  0.000  0.000
N  0.000  0.808  0.617
Ce  0.500  0.674  0.348
Ce  0.500  0.326  0.652
Ce  0.500  0.500  0.000
B  0.000  0.119  0.239
B  0.000  0.881  0.761

SG ... Cmmm (65)
Formation energy without anion corrections ... -0.3454 eV/atom
M_tot ... 0.09 μB/atom


5.
This record from Alexandria describes a relaxed RbAlO2 crystal. The functional is PBE-GGA.

Lattice parameters (Å, degrees): 5.351 5.351 7.430 59.78 59.78 65.65
Fractional coordinates of all 8 atoms:
O  0.022  0.099  0.048
O  0.522  0.599  0.048
O  0.913  0.491  0.266
O  0.129  0.707  0.830
Al  0.163  0.740  0.048
Al  0.880  0.458  0.047
Rb  0.370  0.948  0.352
Rb  0.672  0.250  0.743

SG ... C2/m (12)
Formation energy without anion corrections ... -2.4998 eV/atom
M_tot ... 0.00 μB/atom


6.
This record from Alexandria describes a relaxed Ce2Tm3Fe2 crystal. The functional is PBE-GGA.

Lattice parameters (Å, degrees): 3.553 6.093 8.689 102.22 101.77 106.96
Fractional coordinates of all 7 atoms:
Fe  0.026  0.819  0.233
Fe  0.974  0.181  0.767
Ce  0.376  0.555  0.197
Ce  0.624  0.445  0.803
Tm  0.500  0.000  0.000
Tm  0.204  0.821  0.587
Tm  0.796  0.179  0.413

ΔE_f ... -0.11 eV per atom
SG ... C2/m (12)
M_tot ... 0.00 μB/atom


7.
This record from Alexandria describes a relaxed NaLi2Ca crystal. The functional is PBE-GGA.

Lattice parameters (Å, degrees): 3.854 3.854 8.067 90.00 90.00 90.00
Fractional coordinates of all 4 atoms:
Li  0.000  0.000  0.231
Li  0.000  0.000  0.769
Na  0.500  0.500  0.000
Ca  0.500  0.500  0.500

E above lowest polymorph ... 0.0 meV/atom
ΔE_f ... 0.05 eV per atom
SG ... P4/mmm (123)
M_tot ... 0.00 μB/atom


8.
This record from Alexandria describes a relaxed Pm6ScCd5 crystal. The functional is PBE-GGA.

Lattice parameters (Å, degrees): 5.384 7.749 9.405 114.33 106.63 90.00
Fractional coordinates of all 12 atoms:
Cd  0.666  0.666  0.333
Cd  0.657  0.157  0.314
Cd  0.000  0.500  0.000
Cd  0.343  0.843  0.686
Cd  0.334  0.334  0.667
Pm  0.168  0.421  0.337
Pm  0.832  0.579  0.663
Pm  0.169  0.916  0.337
Pm  0.500  0.742  0.000
Pm  0.500  0.258  0.000
Pm  0.831  0.084  0.663
Sc  0.000  0.000  0.000

ΔE_f ... -0.24 eV per atom
SG ... Immm (71)
M_tot ... 0.01 μB/atom